BaEuFeCuO5: relaxed, GGA+U.

## Properties
density of states at the Fermi level	0.767	states/eV per atom
total magnetic moment	11.143	μB/cell
calculated total energy	-7.122	eV/atom

Lattice parameters (Å, degrees): 3.920 3.920 7.994 90.00 90.00 90.00
Space group P4mm (No. 99)
One atom of each set of equivalent atoms:
Ba: 0.000 0.000 0.000
Eu: 0.000 0.000 0.470
Fe: 0.500 0.500 0.717
Cu: 0.500 0.500 0.250
O: 0.000 0.500 0.274
O: 0.000 0.500 0.654
O: 0.500 0.500 0.951